Record 1
Below is an optimized crystal structure of NaDyCdS3, with properties calculated at the PBE-GGA level.

Unit cell a=6.9230 b=6.9230 c=10.7533 alpha=90.00 beta=90.00 gamma=33.80
Positions (direct):
Cd 0.4618 0.4618 0.2500
S 0.6356 0.6356 0.9458
Dy 0.0000 0.0000 0.5000
Na 0.7432 0.7432 0.2500
S 0.6356 0.6356 0.5542
S 0.3644 0.3644 0.4458
Cd 0.5382 0.5382 0.7500
S 0.9184 0.9184 0.7500
S 0.0816 0.0816 0.2500
S 0.3644 0.3644 0.0542
Dy 0.0000 0.0000 0.0000
Na 0.2568 0.2568 0.7500

Properties
- SG = Cmcm (63)
- distance to the lowest polymorph of the same formula (eV/atom) = 0.0467
- theoretical density (g/cm³) = 4.56

Record 2
Below is an optimized crystal structure of Dy2TmWC3, with properties calculated at the PBE-GGA level.

Unit cell a=6.3650 b=6.3650 c=5.8027 alpha=111.18 beta=111.18 gamma=32.11
Positions (direct):
Dy 0.3832 0.3832 0.1985
Dy 0.6230 0.6230 0.8062
C 0.0038 0.0038 0.4559
C 0.7134 0.7134 0.2645
C 0.2561 0.2561 0.7357
W 0.1513 0.1513 0.3660
Tm 0.8692 0.8692 0.6732

Properties
- SG = Cm (8)
- theoretical density (g/cm³) = 10.24

Record 3
Below is an optimized crystal structure of LuPb3O, with properties calculated at the PBE-GGA level.

Unit cell a=4.9688 b=4.9688 c=4.9688 alpha=90.00 beta=90.00 gamma=90.00
Positions (direct):
Pb 0.5000 0.5000 0.0000
Lu 0.0000 0.0000 0.0000
Pb 0.0000 0.5000 0.5000
Pb 0.5000 0.0000 0.5000
O 0.5000 0.5000 0.5000

Properties
- SG = Pm-3m (221)
- theoretical density (g/cm³) = 11.00

Record 4
Below is an optimized crystal structure of GdHf2Si2, with properties calculated at the PBE-GGA level.

Unit cell a=7.3760 b=7.3760 c=3.6052 alpha=90.00 beta=90.00 gamma=90.00
Positions (direct):
Hf 0.1718 0.6718 0.5000
Hf 0.3282 0.1718 0.5000
Si 0.1193 0.3807 0.0000
Si 0.6193 0.1193 0.0000
Gd 0.5000 0.5000 0.0000
Hf 0.6718 0.8282 0.5000
Gd 0.0000 0.0000 0.0000
Hf 0.8282 0.3282 0.5000
Si 0.8807 0.6193 0.0000
Si 0.3807 0.8807 0.0000

Properties
- SG = P4/mbm (127)
- theoretical density (g/cm³) = 9.66

Record 5
Below is an optimized crystal structure of K3Li2Nb5O15, with properties calculated at the PBE-GGA level.

Unit cell a=12.7132 b=12.7132 c=4.0051 alpha=90.00 beta=90.00 gamma=90.00
Positions (direct):
Nb 0.7934 0.9224 0.0000
O 0.4331 0.6409 0.0000
O 0.2864 0.2136 0.0000
K 0.3288 0.8288 0.5000
K 0.1712 0.3288 0.5000
O 0.5000 0.0000 0.5000
O 0.3591 0.4331 0.0000
Li 0.6234 0.8766 0.5000
O 0.2136 0.7136 0.0000
Nb 0.2934 0.5776 0.0000
O 0.9331 0.8591 0.0000
O 0.9981 0.3449 0.0000
O 0.0000 0.5000 0.5000
O 0.2163 0.0813 0.5000
O 0.3449 0.0019 0.0000
O 0.7163 0.4187 0.5000
O 0.0669 0.1409 0.0000
K 0.5000 0.5000 0.5000
O 0.6551 0.9981 0.0000
K 0.0000 0.0000 0.5000
Li 0.8766 0.3766 0.5000
O 0.6409 0.5669 0.0000
O 0.5669 0.3591 0.0000
O 0.5019 0.8449 0.0000
Li 0.3766 0.1234 0.5000
O 0.8449 0.4981 0.0000
Li 0.1234 0.6234 0.5000
O 0.7864 0.2864 0.0000
O 0.4187 0.2837 0.5000
Nb 0.5776 0.7066 0.0000
O 0.8591 0.0669 0.0000
O 0.2837 0.5813 0.5000
Nb 0.9224 0.2066 0.0000
Nb 0.0000 0.5000 0.0000
O 0.7837 0.9187 0.5000
Nb 0.4224 0.2934 0.0000
O 0.1409 0.9331 0.0000
Nb 0.2066 0.0776 0.0000
O 0.4981 0.1551 0.0000
K 0.6712 0.1712 0.5000
O 0.7136 0.7864 0.0000
O 0.1551 0.5019 0.0000
O 0.0813 0.7837 0.5000
K 0.8288 0.6712 0.5000
O 0.0019 0.6551 0.0000
Nb 0.7066 0.4224 0.0000
O 0.9187 0.2163 0.5000
Nb 0.5000 0.0000 0.0000
Nb 0.0776 0.7934 0.0000
O 0.5813 0.7163 0.5000

Properties
- SG = P4/mbm (127)
- theoretical density (g/cm³) = 4.29

Record 6
Below is an optimized crystal structure of NdThPb, with properties calculated at the PBE-GGA level.

Unit cell a=5.3324 b=5.3324 c=5.3324 alpha=60.00 beta=60.00 gamma=60.00
Positions (direct):
Th 0.7500 0.7500 0.7500
Pb 0.0000 0.0000 0.0000
Nd 0.2500 0.2500 0.2500

Properties
- SG = F-43m (216)
- distance to the lowest polymorph of the same formula (eV/atom) = 0.0000
- theoretical density (g/cm³) = 9.04

| no. | E (eV per atom) |
| --- | --- |
| 1 | -4.496 |
| 2 | -8.016 |
| 3 | -4.460 |
| 4 | -7.703 |
| 5 | -7.706 |
| 6 | -5.316 |